First-principles (PBE-GGA) data for GdEr2O after structural relaxation, as listed in the Alexandria database.

Lattice parameters (Å, degrees): 3.170 3.170 8.676 90.00 90.00 90.00
Atoms (fractional coordinates):
Gd (0.000, 0.000, 0.000)
Er (0.500, 0.500, 0.324)
Er (0.500, 0.500, 0.676)
O (0.000, 0.000, 0.500)

Values from the calculation:
The calculation puts the total energy at -0.5772 Ry/atom. The space group is P4/mmm. The calculation puts the raw formation energy at -3.25 eV per formula unit. The crystal system is tetragonal.

=====

First-principles (PBE-GGA) data for CsMgRu3 after structural relaxation, as listed in the Alexandria database.

Lattice parameters (Å, degrees): 4.913 4.913 4.913 90.00 90.00 90.00
Atoms (fractional coordinates):
Cs (0.000, 0.000, 0.000)
Mg (0.500, 0.500, 0.500)
Ru (0.000, 0.000, 0.500)
Ru (0.000, 0.500, 0.000)
Ru (0.500, 0.000, 0.000)

Values from the calculation:
The calculation puts the relative energy among the computed polymorphs at 0.6129 eV per atom. The calculation puts the total energy at -0.2582 Ry/atom. The calculation puts the formation energy at 2.5425 eV/atom. The space group is Pm-3m. The crystal system is cubic.

=====

Total magnetization / μB per atom: 1.844; 0.557
Density of states at the Fermi level / states/eV per atom: 1.237; 1.895